12
Lattice="3.690 0.000 0.000 0.000 7.945 1.133 0.000 -2.584 7.539" Properties=species:S:1:pos:R:3 comment="GGA-PBE BaThGaN3, optimized geometry" raw_formation_energy_ev_per_atom=-0.885 crystal_system=monoclinic pbc="T T T"
Ba 2.767 4.446 6.946
Th 2.767 0.673 6.706
N 0.922 5.489 4.609
Ba 0.922 0.914 1.726
N 2.767 3.159 1.495
N 2.767 6.357 2.075
N 0.922 2.202 7.177
N 2.767 -0.129 4.063
N 0.922 -0.997 6.598
Ga 0.922 -0.883 4.691
Ga 2.767 6.243 3.981
Th 0.922 4.687 1.967

10
Lattice="4.824 -0.001 0.000 0.002 6.477 0.000 0.000 0.000 7.046" Properties=species:S:1:pos:R:3 comment="GGA-PBE NpCdAu3, optimized geometry" crystal_system=orthorhombic formation_energy_kj_per_mol_atoms=-12.1 pbc="T T T"
Au 1.206 1.619 6.604
Np 1.207 4.858 5.648
Au 3.618 0.249 5.298
Au 3.619 4.857 0.442
Cd 1.206 1.619 3.855
Au 1.207 3.488 1.748
Au 3.619 2.988 5.298
Au 1.208 6.227 1.748
Np 3.618 1.618 1.398
Cd 3.619 4.857 3.190

20
Lattice="6.783 0.000 0.000 3.391 11.525 2.862 3.391 5.818 10.352" Properties=species:S:1:pos:R:3 comment="GGA-PBE Nd2Sm3Tm5, optimized geometry" e_above_lowest_polymorph_ev_per_fu=2.17 crystal_system=orthorhombic formation_energy_kj_per_mol_atoms=38.8 pbc="T T T"
Nd 3.391 1.604 2.449
Sm 1.696 0.000 0.000
Tm 5.087 12.968 9.881
Tm 6.783 6.029 5.596
Sm 10.174 12.363 6.490
Sm 3.391 4.980 6.725
Sm 5.087 0.000 0.000
Tm 8.479 8.672 6.607
Sm 6.783 9.538 10.198
Tm 3.391 6.995 4.328
Nd 6.783 2.787 0.897
Tm 5.087 8.672 6.607
Nd 6.783 14.556 12.318
Tm 10.174 10.348 8.886
Tm 6.783 11.314 7.619
Tm 8.479 12.968 9.881
Tm 8.479 4.375 3.333
Sm 6.783 7.805 3.017
Tm 5.087 4.375 3.333
Nd 10.174 15.739 10.766

5
Lattice="5.089 0.000 0.000 0.000 5.089 0.000 0.000 0.000 5.381" Properties=species:S:1:pos:R:3 comment="GGA-PBE GaSeBr2Cl, optimized geometry" e_above_lowest_polymorph_ev_per_fu=0.00 raw_formation_energy_ev_per_atom=0.083 crystal_system=tetragonal pbc="T T T"
Ga 0.000 0.000 0.000
Br 2.545 0.000 0.000
Se 0.000 0.000 2.691
Cl 2.545 2.545 2.691
Br 0.000 2.545 0.000

8
Lattice="-0.021 -5.141 -4.322 -0.675 -0.363 6.677 -5.405 3.988 0.012" Properties=species:S:1:pos:R:3 comment="GGA-PBE Ba2Pd5Pb, optimized geometry" crystal_system=monoclinic formation_energy_kj_per_mol_atoms=-40.2 pbc="T T T"
Pd -1.630 -1.251 0.149
Pb -3.363 2.004 3.697
Pd -4.911 3.189 1.846
Pd -2.007 -4.217 1.417
Pd -5.285 0.216 3.113
Ba -2.375 -1.541 3.411
Ba -4.555 0.523 -0.128
Pd -1.636 -4.176 -2.544